[1]
# K2MgRu, relaxed, DFT PBE-GGA
data_K2MgRu
_cell_length_a 6.425
_cell_length_b 6.425
_cell_length_c 6.425
_cell_angle_alpha 141.20
_cell_angle_beta 141.20
_cell_angle_gamma 56.04
_symmetry_space_group_name_H-M 'P 1'
_symmetry_Int_Tables_number 1
loop_
_symmetry_equiv_pos_as_xyz
'x,y,z'
loop_
_atom_site_label
_atom_site_fract_x
_atom_site_fract_y
_atom_site_fract_z
Ru1 0.750 0.250 0.500
K1 0.000 0.000 0.000
K2 0.500 0.500 0.000
Mg1 0.250 0.750 0.500
# Fermi-level density of states ... 3.5 states/eV/f.u.
# Magnetic moment ... 0.00 μB per formula unit
# Calculated formation energy ... 0.9264 eV per atom

***

[2]
# K2MgRu, relaxed, DFT PBE-GGA
data_K2MgRu
_cell_length_a 7.510
_cell_length_b 7.510
_cell_length_c 7.510
_cell_angle_alpha 156.53
_cell_angle_beta 130.99
_cell_angle_gamma 55.03
_symmetry_space_group_name_H-M 'P 1'
_symmetry_Int_Tables_number 1
loop_
_symmetry_equiv_pos_as_xyz
'x,y,z'
loop_
_atom_site_label
_atom_site_fract_x
_atom_site_fract_y
_atom_site_fract_z
Ru1 0.274 0.774 0.500
K1 0.049 0.049 0.000
Mg1 0.432 0.432 0.000
K2 0.745 0.245 0.500
# Fermi-level density of states ... 3.8 states/eV/f.u.
# Magnetic moment ... 0.97 μB per formula unit
# Calculated formation energy ... 0.7577 eV per atom

***

[3]
# K2MgRu, relaxed, DFT PBE-GGA
data_K2MgRu
_cell_length_a 5.400
_cell_length_b 5.400
_cell_length_c 5.400
_cell_angle_alpha 120.07
_cell_angle_beta 120.07
_cell_angle_gamma 89.87
_symmetry_space_group_name_H-M 'P 1'
_symmetry_Int_Tables_number 1
loop_
_symmetry_equiv_pos_as_xyz
'x,y,z'
loop_
_atom_site_label
_atom_site_fract_x
_atom_site_fract_y
_atom_site_fract_z
K1 0.250 0.750 0.500
K2 0.000 0.000 0.000
Ru1 0.750 0.250 0.500
Mg1 0.500 0.500 0.000
# Fermi-level density of states ... 7.8 states/eV/f.u.
# Magnetic moment ... 1.41 μB per formula unit
# Calculated formation energy ... 0.9240 eV per atom

***

[4]
# K2MgRu, relaxed, DFT PBE-GGA
data_K2MgRu
_cell_length_a 6.458
_cell_length_b 6.458
_cell_length_c 2.898
_cell_angle_alpha 90.00
_cell_angle_beta 90.00
_cell_angle_gamma 90.00
_symmetry_space_group_name_H-M 'P 1'
_symmetry_Int_Tables_number 1
loop_
_symmetry_equiv_pos_as_xyz
'x,y,z'
loop_
_atom_site_label
_atom_site_fract_x
_atom_site_fract_y
_atom_site_fract_z
K1 0.500 0.500 0.000
K2 0.000 0.000 0.000
Ru1 0.000 0.500 0.500
Mg1 0.500 0.000 0.500
# Fermi-level density of states ... 4.9 states/eV/f.u.
# Magnetic moment ... 0.76 μB per formula unit
# Calculated formation energy ... 1.0790 eV per atom

***

[5]
# KMg2Ru, relaxed, DFT PBE-GGA
data_KMg2Ru
_cell_length_a 4.941
_cell_length_b 4.941
_cell_length_c 7.830
_cell_angle_alpha 84.88
_cell_angle_beta 84.88
_cell_angle_gamma 35.47
_symmetry_space_group_name_H-M 'P 1'
_symmetry_Int_Tables_number 1
loop_
_symmetry_equiv_pos_as_xyz
'x,y,z'
loop_
_atom_site_label
_atom_site_fract_x
_atom_site_fract_y
_atom_site_fract_z
Mg1 0.760 0.760 0.692
K1 0.236 0.236 0.287
Mg2 0.009 0.009 0.900
Ru1 0.495 0.495 0.621
# Fermi-level density of states ... 3.8 states/eV/f.u.
# Magnetic moment ... 0.80 μB per formula unit
# Calculated formation energy ... 0.4437 eV per atom

***

[6]
# K2MgRu, relaxed, DFT PBE-GGA
data_K2MgRu
_cell_length_a 5.901
_cell_length_b 3.216
_cell_length_c 5.493
_cell_angle_alpha 83.65
_cell_angle_beta 90.00
_cell_angle_gamma 90.00
_symmetry_space_group_name_H-M 'P 1'
_symmetry_Int_Tables_number 1
loop_
_symmetry_equiv_pos_as_xyz
'x,y,z'
loop_
_atom_site_label
_atom_site_fract_x
_atom_site_fract_y
_atom_site_fract_z
Ru1 0.500 0.750 0.750
K1 0.000 0.983 0.988
K2 0.000 0.517 0.512
Mg1 0.500 0.250 0.250
# Fermi-level density of states ... 4.0 states/eV/f.u.
# Magnetic moment ... 1.00 μB per formula unit
# Calculated formation energy ... 0.9417 eV per atom